Record 1
# Dy3Er3ZnRu2 | Alexandria | PBE | relaxed
data_Dy3Er3ZnRu2
_chemical_formula_sum 'Dy3 Er3 Zn1 Ru2'
_space_group_name_H-M_alt 'P -6 2 m'
_space_group_IT_number 189
_space_group_name_Hall 'P -6 -2'
_cell_length_a 8.0762
_cell_length_b 8.0762
_cell_length_c 3.7885
_cell_angle_alpha 90.00
_cell_angle_beta 90.00
_cell_angle_gamma 120.00
loop_
_atom_site_label
_atom_site_type_symbol
_atom_site_fract_x
_atom_site_fract_y
_atom_site_fract_z
Dy1 Dy 0.0000 0.2762 0.0000
Er1 Er 0.0000 0.5995 0.5000
Zn1 Zn 0.0000 0.0000 0.5000
Ru1 Ru 0.3333 0.6667 0.0000
# Energy relative to the elements   -1.4 eV/f.u.


Record 2
# DyEr4S5 | Alexandria | PBE | relaxed
data_DyEr4S5
_chemical_formula_sum 'Dy2 Er8 S10'
_space_group_name_H-M_alt 'I m m m'
_space_group_IT_number 71
_space_group_name_Hall '-I 2 2'
_cell_length_a 3.876
_cell_length_b 5.466
_cell_length_c 19.365
_cell_angle_alpha 90.00
_cell_angle_beta 90.00
_cell_angle_gamma 90.00
loop_
_atom_site_label
_atom_site_type_symbol
_atom_site_fract_x
_atom_site_fract_y
_atom_site_fract_z
Dy1 Dy 0.000 0.000 0.000
Er1 Er 0.000 0.000 0.201
Er2 Er 0.000 0.000 0.400
S1 S 0.000 0.500 0.000
S2 S 0.000 0.500 0.200
S3 S 0.000 0.500 0.399
# Formation energy without anion corrections   -1.96 eV per atom


Record 3
# DyEr6S8 | Alexandria | PBE | relaxed
data_DyEr6S8
_chemical_formula_sum 'Dy4 Er24 S32'
_space_group_name_H-M_alt 'F m -3 m'
_space_group_IT_number 225
_space_group_name_Hall '-F 4 2 3'
_cell_length_a 10.915
_cell_length_b 10.915
_cell_length_c 10.915
_cell_angle_alpha 90.00
_cell_angle_beta 90.00
_cell_angle_gamma 90.00
loop_
_atom_site_label
_atom_site_type_symbol
_atom_site_fract_x
_atom_site_fract_y
_atom_site_fract_z
Dy1 Dy 0.000 0.000 0.000
Er1 Er 0.000 0.250 0.250
S1 S 0.000 0.000 0.253
S2 S 0.250 0.250 0.250
# Formation energy without anion corrections   -2.03 eV per atom


Record 4
# Dy2ErS4 | Alexandria | PBE | relaxed
data_Dy2ErS4
_chemical_formula_sum 'Dy4 Er2 S8'
_space_group_name_H-M_alt 'C 1 2/m 1'
_space_group_IT_number 12
_cell_length_a 14.208
_cell_length_b 3.932
_cell_length_c 6.887
_cell_angle_alpha 90.00
_cell_angle_beta 116.52
_cell_angle_gamma 90.00
loop_
_space_group_symop_operation_xyz
'x,y,z'
'-x,-y,-z'
'-x,y,-z'
'x,-y,z'
'x+1/2,y+1/2,z'
'-x+1/2,-y+1/2,-z'
'-x+1/2,y+1/2,-z'
'x+1/2,-y+1/2,z'
loop_
_atom_site_label
_atom_site_type_symbol
_atom_site_fract_x
_atom_site_fract_y
_atom_site_fract_z
Dy1 Dy 0.226 0.000 0.219
Er1 Er 0.000 0.500 0.500
S1 S 0.123 0.500 0.935
S2 S 0.137 0.000 0.503
# Formation energy without anion corrections   -2.01 eV per atom
# E above lowest polymorph   35 kJ/mol of formula units


Record 5
# Dy2Er2S7 | Alexandria | PBE | relaxed
data_Dy2Er2S7
_chemical_formula_sum 'Dy4 Er4 S14'
_space_group_name_H-M_alt 'I m m 2'
_space_group_IT_number 44
_cell_length_a 3.833
_cell_length_b 13.919
_cell_length_c 8.651
_cell_angle_alpha 90.00
_cell_angle_beta 90.00
_cell_angle_gamma 90.00
loop_
_space_group_symop_operation_xyz
'x,y,z'
'-x,-y,z'
'-x,y,z'
'x,-y,z'
'x+1/2,y+1/2,z+1/2'
'-x+1/2,-y+1/2,z+1/2'
'-x+1/2,y+1/2,z+1/2'
'x+1/2,-y+1/2,z+1/2'
loop_
_atom_site_label
_atom_site_type_symbol
_atom_site_fract_x
_atom_site_fract_y
_atom_site_fract_z
Dy1 Dy 0.000 0.244 0.000
Er1 Er 0.000 0.000 0.764
Er2 Er 0.000 0.500 0.817
S1 S 0.000 0.000 0.090
S2 S 0.000 0.109 0.490
S3 S 0.000 0.321 0.697
S4 S 0.000 0.362 0.317
# Formation energy without anion corrections   -1.74 eV per atom


Record 6
# DyEr2S | Alexandria | PBE | relaxed
data_DyEr2S
_chemical_formula_sum 'Dy3 Er6 S3'
_space_group_name_H-M_alt 'R -3 m'
_space_group_IT_number 166
_space_group_name_Hall '-R 3 2"'
_cell_length_a 3.6120
_cell_length_b 3.6120
_cell_length_c 29.9795
_cell_angle_alpha 90.00
_cell_angle_beta 90.00
_cell_angle_gamma 120.00
loop_
_atom_site_label
_atom_site_type_symbol
_atom_site_fract_x
_atom_site_fract_y
_atom_site_fract_z
Dy1 Dy 0.0000 0.0000 0.0000
Er1 Er 0.0000 0.0000 0.1119
S1 S 0.0000 0.0000 0.5000
# Formation energy without anion corrections   -0.71 eV per atom


Record 7
# Dy4ErS7 | Alexandria | PBE | relaxed
data_Dy4ErS7
_chemical_formula_sum 'Dy8 Er2 S14'
_space_group_name_H-M_alt 'C 1 m 1'
_space_group_IT_number 8
_cell_length_a 12.827
_cell_length_b 3.803
_cell_length_c 11.594
_cell_angle_alpha 90.00
_cell_angle_beta 104.67
_cell_angle_gamma 90.00
loop_
_space_group_symop_operation_xyz
'x,y,z'
'x,-y,z'
'x+1/2,y+1/2,z'
'x+1/2,-y+1/2,z'
loop_
_atom_site_label
_atom_site_type_symbol
_atom_site_fract_x
_atom_site_fract_y
_atom_site_fract_z
Dy1 Dy 0.000 0.000 0.000
Dy2 Dy 0.088 0.500 0.390
Dy3 Dy 0.189 0.000 0.767
Dy4 Dy 0.388 0.500 0.577
Er1 Er 0.276 0.500 0.156
S1 S 0.048 0.500 0.629
S2 S 0.130 0.500 0.932
S3 S 0.149 0.000 0.225
S4 S 0.229 0.000 0.527
S5 S 0.347 0.500 0.793
S6 S 0.387 0.000 0.079
S7 S 0.429 0.500 0.362
# Formation energy without anion corrections   -2.08 eV per atom


Record 8
# Dy2Er4S9 | Alexandria | PBE | relaxed
data_Dy2Er4S9
_chemical_formula_sum 'Dy4 Er8 S18'
_space_group_name_H-M_alt 'P -3 c 1'
_space_group_IT_number 165
_space_group_name_Hall '-P 3 2"c'
_cell_length_a 6.8643
_cell_length_b 6.8643
_cell_length_c 18.4269
_cell_angle_alpha 90.00
_cell_angle_beta 90.00
_cell_angle_gamma 120.00
loop_
_atom_site_label
_atom_site_type_symbol
_atom_site_fract_x
_atom_site_fract_y
_atom_site_fract_z
Dy1 Dy 0.0000 0.0000 0.1493
Er1 Er 0.3333 0.6667 0.1834
Er2 Er 0.3333 0.6667 0.4838
S1 S 0.0000 0.3034 0.2500
S2 S 0.0312 0.3679 0.5834
# Formation energy without anion corrections   -2.06 eV per atom


Record 9
# Dy3Er2S8 | Alexandria | PBE | relaxed
data_Dy3Er2S8
_chemical_formula_sum 'Dy6 Er4 S16'
_space_group_name_H-M_alt 'C 1 2/m 1'
_space_group_IT_number 12
_cell_length_a 13.622
_cell_length_b 7.881
_cell_length_c 6.671
_cell_angle_alpha 90.00
_cell_angle_beta 110.19
_cell_angle_gamma 90.00
loop_
_space_group_symop_operation_xyz
'x,y,z'
'-x,-y,-z'
'-x,y,-z'
'x,-y,z'
'x+1/2,y+1/2,z'
'-x+1/2,-y+1/2,-z'
'-x+1/2,y+1/2,-z'
'x+1/2,-y+1/2,z'
loop_
_atom_site_label
_atom_site_type_symbol
_atom_site_fract_x
_atom_site_fract_y
_atom_site_fract_z
Dy1 Dy 0.000 0.000 0.000
Dy2 Dy 0.000 0.263 0.500
Er1 Er 0.238 0.500 0.158
S1 S 0.118 0.000 0.430
S2 S 0.119 0.500 0.404
S3 S 0.125 0.235 0.915
# Formation energy without anion corrections   -1.87 eV per atom


Record 10
# DyErS3 | Alexandria | PBE | relaxed
data_DyErS3
_chemical_formula_sum 'Dy2 Er2 S6'
_space_group_name_H-M_alt 'P 1 21/m 1'
_space_group_IT_number 11
_cell_length_a 7.716
_cell_length_b 3.865
_cell_length_c 7.718
_cell_angle_alpha 90.00
_cell_angle_beta 94.54
_cell_angle_gamma 90.00
loop_
_space_group_symop_operation_xyz
'x,y,z'
'-x,-y,-z'
'-x,y+1/2,-z'
'x,-y+1/2,z'
loop_
_atom_site_label
_atom_site_type_symbol
_atom_site_fract_x
_atom_site_fract_y
_atom_site_fract_z
Dy1 Dy 0.118 0.250 0.269
Er1 Er 0.354 0.750 0.819
S1 S 0.122 0.250 0.886
S2 S 0.178 0.750 0.518
S3 S 0.396 0.750 0.179
# Formation energy without anion corrections   -2.04 eV per atom
# E above lowest polymorph   0 kJ/mol of formula units


Record 11
# Dy5ErS6 | Alexandria | PBE | relaxed
data_Dy5ErS6
_chemical_formula_sum 'Dy10 Er2 S12'
_space_group_name_H-M_alt 'C 1 2/m 1'
_space_group_IT_number 12
_cell_length_a 6.749
_cell_length_b 11.723
_cell_length_c 6.739
_cell_angle_alpha 90.00
_cell_angle_beta 109.68
_cell_angle_gamma 90.00
loop_
_space_group_symop_operation_xyz
'x,y,z'
'-x,-y,-z'
'-x,y,-z'
'x,-y,z'
'x+1/2,y+1/2,z'
'-x+1/2,-y+1/2,-z'
'-x+1/2,y+1/2,-z'
'x+1/2,-y+1/2,z'
loop_
_atom_site_label
_atom_site_type_symbol
_atom_site_fract_x
_atom_site_fract_y
_atom_site_fract_z
Dy1 Dy 0.000 0.000 0.000
Dy2 Dy 0.000 0.167 0.500
Dy3 Dy 0.000 0.332 0.000
Er1 Er 0.000 0.500 0.500
S1 S 0.248 0.335 0.748
S2 S 0.248 0.500 0.251
# Formation energy without anion corrections   -1.99 eV per atom


Record 12
# Dy2ErS3 | Alexandria | PBE | relaxed
data_Dy2ErS3
_chemical_formula_sum 'Dy4 Er2 S6'
_space_group_name_H-M_alt 'I m m m'
_space_group_IT_number 71
_space_group_name_Hall '-I 2 2'
_cell_length_a 3.901
_cell_length_b 5.493
_cell_length_c 11.659
_cell_angle_alpha 90.00
_cell_angle_beta 90.00
_cell_angle_gamma 90.00
loop_
_atom_site_label
_atom_site_type_symbol
_atom_site_fract_x
_atom_site_fract_y
_atom_site_fract_z
Dy1 Dy 0.000 0.000 0.168
Er1 Er 0.000 0.000 0.500
S1 S 0.000 0.500 0.164
S2 S 0.000 0.500 0.500
# Formation energy without anion corrections   -1.98 eV per atom


Record 13
# Dy2ErS4 | Alexandria | PBE | relaxed
data_Dy2ErS4
_chemical_formula_sum 'Dy8 Er4 S16'
_space_group_name_H-M_alt 'I m m a'
_space_group_IT_number 74
_space_group_name_Hall '-I 2b 2'
_cell_length_a 7.814
_cell_length_b 7.834
_cell_length_c 10.873
_cell_angle_alpha 90.00
_cell_angle_beta 90.00
_cell_angle_gamma 90.00
loop_
_atom_site_label
_atom_site_type_symbol
_atom_site_fract_x
_atom_site_fract_y
_atom_site_fract_z
Dy1 Dy 0.000 0.000 0.000
Dy2 Dy 0.250 0.250 0.250
Er1 Er 0.250 0.250 0.750
S1 S 0.000 0.002 0.747
S2 S 0.243 0.250 0.999
# Formation energy without anion corrections   -2.07 eV per atom
# E above lowest polymorph   0 kJ/mol of formula units


Record 14
# Dy3ErS4 | Alexandria | PBE | relaxed
data_Dy3ErS4
_chemical_formula_sum 'Dy6 Er2 S8'
_space_group_name_H-M_alt 'C m m m'
_space_group_IT_number 65
_space_group_name_Hall '-C 2 2'
_cell_length_a 7.848
_cell_length_b 11.022
_cell_length_c 3.862
_cell_angle_alpha 90.00
_cell_angle_beta 90.00
_cell_angle_gamma 90.00
loop_
_atom_site_label
_atom_site_type_symbol
_atom_site_fract_x
_atom_site_fract_y
_atom_site_fract_z
Dy1 Dy 0.000 0.000 0.000
Dy2 Dy 0.250 0.250 0.500
Er1 Er 0.000 0.500 0.000
S1 S 0.000 0.251 0.000
S2 S 0.247 0.500 0.500
# Formation energy without anion corrections   -1.98 eV per atom
# E above lowest polymorph   0 kJ/mol of formula units


Record 15
# Dy2Er2S3 | Alexandria | PBE | relaxed
data_Dy2Er2S3
_chemical_formula_sum 'Dy4 Er4 S6'
_space_group_name_H-M_alt 'C 1 2/m 1'
_space_group_IT_number 12
_cell_length_a 12.736
_cell_length_b 3.824
_cell_length_c 6.664
_cell_angle_alpha 90.00
_cell_angle_beta 100.07
_cell_angle_gamma 90.00
loop_
_space_group_symop_operation_xyz
'x,y,z'
'-x,-y,-z'
'-x,y,-z'
'x,-y,z'
'x+1/2,y+1/2,z'
'-x+1/2,-y+1/2,-z'
'-x+1/2,y+1/2,-z'
'x+1/2,-y+1/2,z'
loop_
_atom_site_label
_atom_site_type_symbol
_atom_site_fract_x
_atom_site_fract_y
_atom_site_fract_z
Dy1 Dy 0.124 0.000 0.380
Er1 Er 0.126 0.500 0.876
S1 S 0.000 0.000 0.000
S2 S 0.248 0.500 0.245
# Formation energy without anion corrections   -1.69 eV per atom


Record 16
# Dy3Er5S8 | Alexandria | PBE | relaxed
data_Dy3Er5S8
_chemical_formula_sum 'Dy9 Er15 S24'
_space_group_name_H-M_alt 'R -3 m'
_space_group_IT_number 166
_space_group_name_Hall '-R 3 2"'
_cell_length_a 7.7602
_cell_length_b 7.7602
_cell_length_c 19.0085
_cell_angle_alpha 90.00
_cell_angle_beta 90.00
_cell_angle_gamma 120.00
loop_
_atom_site_label
_atom_site_type_symbol
_atom_site_fract_x
_atom_site_fract_y
_atom_site_fract_z
Dy1 Dy 0.0000 0.5000 0.0000
Er1 Er 0.0000 0.0000 0.0000
Er2 Er 0.0000 0.0000 0.5000
Er3 Er 0.0000 0.5000 0.5000
S1 S 0.0000 0.0000 0.2486
S2 S 0.0019 0.5009 0.7509
# Formation energy without anion corrections   -1.96 eV per atom


Record 17
# DyErS3 | Alexandria | PBE | relaxed
data_DyErS3
_chemical_formula_sum 'Dy4 Er4 S12'
_space_group_name_H-M_alt 'C 1 2/m 1'
_space_group_IT_number 12
_cell_length_a 15.828
_cell_length_b 4.080
_cell_length_c 8.306
_cell_angle_alpha 90.00
_cell_angle_beta 117.47
_cell_angle_gamma 90.00
loop_
_space_group_symop_operation_xyz
'x,y,z'
'-x,-y,-z'
'-x,y,-z'
'x,-y,z'
'x+1/2,y+1/2,z'
'-x+1/2,-y+1/2,-z'
'-x+1/2,y+1/2,-z'
'x+1/2,-y+1/2,z'
loop_
_atom_site_label
_atom_site_type_symbol
_atom_site_fract_x
_atom_site_fract_y
_atom_site_fract_z
Dy1 Dy 0.130 0.000 0.291
Er1 Er 0.148 0.500 0.761
S1 S 0.045 0.500 0.362
S2 S 0.144 0.000 0.974
S3 S 0.234 0.000 0.656
# Formation energy without anion corrections   -2.02 eV per atom
# E above lowest polymorph   11 kJ/mol of formula units


Record 18
# Dy4ErS4 | Alexandria | PBE | relaxed
data_Dy4ErS4
_chemical_formula_sum 'Dy8 Er2 S8'
_space_group_name_H-M_alt 'I 4/m'
_space_group_IT_number 87
_space_group_name_Hall '-I 4'
_cell_length_a 8.626
_cell_length_b 8.626
_cell_length_c 5.496
_cell_angle_alpha 90.00
_cell_angle_beta 90.00
_cell_angle_gamma 90.00
loop_
_atom_site_label
_atom_site_type_symbol
_atom_site_fract_x
_atom_site_fract_y
_atom_site_fract_z
Dy1 Dy 0.102 0.301 0.000
Er1 Er 0.000 0.000 0.500
S1 S 0.098 0.300 0.500
# Formation energy without anion corrections   -1.75 eV per atom


Record 19
# Dy4Er3S8 | Alexandria | PBE | relaxed
data_Dy4Er3S8
_chemical_formula_sum 'Dy8 Er6 S16'
_space_group_name_H-M_alt 'C 1 2/m 1'
_space_group_IT_number 12
_cell_length_a 10.969
_cell_length_b 10.971
_cell_length_c 7.754
_cell_angle_alpha 90.00
_cell_angle_beta 134.96
_cell_angle_gamma 90.00
loop_
_space_group_symop_operation_xyz
'x,y,z'
'-x,-y,-z'
'-x,y,-z'
'x,-y,z'
'x+1/2,y+1/2,z'
'-x+1/2,-y+1/2,-z'
'-x+1/2,y+1/2,-z'
'x+1/2,-y+1/2,z'
loop_
_atom_site_label
_atom_site_type_symbol
_atom_site_fract_x
_atom_site_fract_y
_atom_site_fract_z
Dy1 Dy 0.000 0.000 0.000
Dy2 Dy 0.000 0.500 0.500
Dy3 Dy 0.250 0.250 0.000
Er1 Er 0.000 0.500 0.000
Er2 Er 0.250 0.250 0.500
S1 S 0.000 0.248 0.500
S2 S 0.000 0.251 0.000
S3 S 0.249 0.000 0.502
S4 S 0.249 0.000 0.996
# Formation energy without anion corrections   -2.04 eV per atom


Record 20
# Dy6Er2S3 | Alexandria | PBE | relaxed
data_Dy6Er2S3
_chemical_formula_sum 'Dy18 Er6 S9'
_space_group_name_H-M_alt 'R -3 m'
_space_group_IT_number 166
_space_group_name_Hall '-R 3 2"'
_cell_length_a 3.7302
_cell_length_b 3.7302
_cell_length_c 73.0339
_cell_angle_alpha 90.00
_cell_angle_beta 90.00
_cell_angle_gamma 120.00
loop_
_atom_site_label
_atom_site_type_symbol
_atom_site_fract_x
_atom_site_fract_y
_atom_site_fract_z
Dy1 Dy 0.0000 0.0000 0.0693
Dy2 Dy 0.0000 0.0000 0.1858
Dy3 Dy 0.0000 0.0000 0.3570
Er1 Er 0.0000 0.0000 0.4421
S1 S 0.0000 0.0000 0.0000
S2 S 0.0000 0.0000 0.2872
# Formation energy without anion corrections   -1.03 eV per atom


| no. | electronic total energy (hartree per atom) | volume (Å³ per cell) |
| --- | --- | --- |
| 1 | -0.19880 | 214 |
| 2 | -0.23177 | 410 |
| 3 | -0.23380 | 1301 |
| 4 | -0.23299 | 344 |
| 5 | -0.22166 | 462 |
| 6 | -0.18999 | 339 |
| 7 | -0.23513 | 547 |
| 8 | -0.23409 | 752 |
| 9 | -0.22695 | 672 |
| 10 | -0.23336 | 229 |
| 11 | -0.23340 | 502 |
| 12 | -0.23288 | 250 |
| 13 | -0.23489 | 666 |
| 14 | -0.23303 | 334 |
| 15 | -0.22343 | 320 |
| 16 | -0.23215 | 991 |
| 17 | -0.23252 | 476 |
| 18 | -0.22560 | 409 |
| 19 | -0.23449 | 660 |
| 20 | -0.20214 | 880 |